# 1
K2SrIn2 | PBE-GGA | relaxed

Lattice parameters (Å, degrees): 9.907 9.907 3.993 90.00 90.00 90.00
Atoms (fractional coordinates):
K: 0.120 0.380 0.000
K: 0.380 0.880 0.000
K: 0.620 0.120 0.000
K: 0.880 0.620 0.000
Sr: 0.000 0.000 0.000
Sr: 0.500 0.500 0.000
In: 0.182 0.682 0.500
In: 0.318 0.182 0.500
In: 0.682 0.818 0.500
In: 0.818 0.318 0.500

Properties
D(E_F)   2.47 states/eV/f.u.
Distance to the lowest polymorph of the same formula   85 meV/atom
V   39.193 A^3/atom
Formation energy from the elements   45 meV per atom
Size of the total moment   0.0 Bohr magnetons per cell
SG   P4/mbm, No. 127

***

# 2
HoMnZn | PBE-GGA | relaxed

Lattice parameters (Å, degrees): 7.159 4.406 7.426 90.00 90.00 90.00
Atoms (fractional coordinates):
Ho: 0.006 0.250 0.191
Ho: 0.494 0.750 0.691
Ho: 0.506 0.250 0.309
Ho: 0.994 0.750 0.809
Mn: 0.168 0.250 0.577
Mn: 0.332 0.750 0.077
Mn: 0.668 0.250 0.923
Mn: 0.832 0.750 0.423
Zn: 0.200 0.750 0.403
Zn: 0.300 0.250 0.903
Zn: 0.700 0.750 0.097
Zn: 0.800 0.250 0.597

Properties
D(E_F)   2.62 states/eV/f.u.
V   19.518 A^3/atom
Formation energy from the elements   -88 meV per atom
Size of the total moment   12.1 Bohr magnetons per cell
SG   Pnma, No. 62

***

# 3
MgAg2Sn | PBE-GGA | relaxed

Lattice parameters (Å, degrees): 4.462 4.360 8.545 90.00 96.35 90.00
Atoms (fractional coordinates):
Mg: 0.000 0.000 0.000
Mg: 0.500 0.500 0.000
Ag: 0.042 0.500 0.221
Ag: 0.458 0.000 0.778
Ag: 0.542 0.000 0.221
Ag: 0.958 0.500 0.778
Sn: 0.499 0.500 0.500
Sn: 0.999 0.000 0.500

Properties
D(E_F)   1.23 states/eV/f.u.
V   20.652 A^3/atom
Formation energy from the elements   -65 meV per atom
Size of the total moment   0.0 Bohr magnetons per cell
SG   Cm, No. 8

***

# 4
MnNi4Ru | PBE-GGA | relaxed

Lattice parameters (Å, degrees): 4.673 4.673 4.673 60.00 60.00 60.00
Atoms (fractional coordinates):
Mn: 0.000 0.000 0.000
Ni: 0.125 0.625 0.625
Ni: 0.625 0.125 0.625
Ni: 0.625 0.625 0.125
Ni: 0.625 0.625 0.625
Ru: 0.250 0.250 0.250

Properties
D(E_F)   5.69 states/eV/f.u.
V   12.027 A^3/atom
Formation energy from the elements   96 meV per atom
Size of the total moment   0.6 Bohr magnetons per cell
SG   F-43m, No. 216

***

# 5
KSr2ReO6 | PBE-GGA | relaxed

Lattice parameters (Å, degrees): 6.253 6.253 6.253 57.98 57.98 57.98
Atoms (fractional coordinates):
K: 0.000 0.000 0.000
Sr: 0.222 0.222 0.222
Sr: 0.728 0.728 0.728
Re: 0.518 0.518 0.518
O: 0.206 0.422 0.733
O: 0.345 0.843 0.599
O: 0.422 0.733 0.206
O: 0.599 0.345 0.843
O: 0.733 0.206 0.422
O: 0.843 0.599 0.345

Properties
D(E_F)   0.00 states/eV/f.u.
Raw formation energy   -2.217 eV per atom
V   16.487 A^3/atom
Size of the total moment   0.1 Bohr magnetons per cell
SG   R3, No. 146

***

# 6
Cs2InCoCl6 | PBE-GGA | relaxed

Lattice parameters (Å, degrees): 7.356 7.356 7.356 119.96 119.96 90.07
Atoms (fractional coordinates):
Cs: 0.250 0.750 0.500
Cs: 0.750 0.250 0.500
In: 0.000 0.000 0.000
Co: 0.500 0.500 0.000
Cl: 0.276 0.276 0.000
Cl: 0.277 0.277 0.554
Cl: 0.277 0.723 0.000
Cl: 0.723 0.277 0.000
Cl: 0.723 0.723 0.446
Cl: 0.724 0.724 0.000

Properties
D(E_F)   0.00 states/eV/f.u.
Raw formation energy   -1.236 eV per atom
V   28.167 A^3/atom
Size of the total moment   0.0 Bohr magnetons per cell
SG   I4/mmm, No. 139

***

# 7
LaBe3Pt | PBE-GGA | relaxed

Lattice parameters (Å, degrees): 6.140 6.140 6.140 56.93 56.93 56.93
Atoms (fractional coordinates):
La: 0.097 0.097 0.097
La: 0.903 0.903 0.903
Be: 0.178 0.562 0.562
Be: 0.438 0.438 0.822
Be: 0.438 0.822 0.438
Be: 0.562 0.178 0.562
Be: 0.562 0.562 0.178
Be: 0.822 0.438 0.438
Pt: 0.304 0.304 0.304
Pt: 0.696 0.696 0.696

Properties
D(E_F)   3.72 states/eV/f.u.
Distance to the lowest polymorph of the same formula   197 meV/atom
V   15.209 A^3/atom
Formation energy from the elements   -294 meV per atom
Size of the total moment   0.0 Bohr magnetons per cell
SG   R-3m, No. 166

***

# 8
InSn2Hg7 | PBE-GGA | relaxed

Lattice parameters (Å, degrees): 10.538 10.538 3.219 90.00 90.00 124.26
Atoms (fractional coordinates):
In: 0.000 0.000 0.000
Sn: 0.336 0.664 0.500
Sn: 0.664 0.336 0.500
Hg: 0.122 0.324 0.500
Hg: 0.191 0.809 0.000
Hg: 0.324 0.122 0.500
Hg: 0.500 0.500 0.500
Hg: 0.676 0.878 0.500
Hg: 0.809 0.191 0.000
Hg: 0.878 0.676 0.500

Properties
D(E_F)   3.92 states/eV/f.u.
V   29.549 A^3/atom
Formation energy from the elements   67 meV per atom
Size of the total moment   0.0 Bohr magnetons per cell
SG   Cmmm, No. 65

***

# 9
Pm4Dy2Y3 | PBE-GGA | relaxed

Lattice parameters (Å, degrees): 6.226 6.226 10.801 106.60 106.60 48.34
Atoms (fractional coordinates):
Pm: 0.000 0.000 0.168
Pm: 0.000 0.000 0.832
Pm: 0.333 0.333 0.611
Pm: 0.667 0.667 0.389
Dy: 0.333 0.333 0.277
Dy: 0.667 0.667 0.723
Y: 0.000 0.000 0.500
Y: 0.334 0.334 0.945
Y: 0.666 0.666 0.055

Properties
D(E_F)   12.08 states/eV/f.u.
V   33.010 A^3/atom
Formation energy from the elements   16 meV per atom
Size of the total moment   0.0 Bohr magnetons per cell
SG   C2/m, No. 12

***

# 10
TaAlAs2Se | PBE-GGA | relaxed

Lattice parameters (Å, degrees): 5.053 5.053 4.991 90.00 90.00 90.00
Atoms (fractional coordinates):
Ta: 0.000 0.000 0.000
Al: 0.500 0.500 0.500
As: 0.000 0.500 0.000
As: 0.500 0.000 0.000
Se: 0.000 0.000 0.500

Properties
D(E_F)   3.27 states/eV/f.u.
Distance to the lowest polymorph of the same formula   0 meV/atom
Raw formation energy   0.249 eV per atom
V   25.485 A^3/atom
Size of the total moment   0.0 Bohr magnetons per cell
SG   P4/mmm, No. 123

***

# 11
YZn2Rh2 | PBE-GGA | relaxed

Lattice parameters (Å, degrees): 5.251 5.251 8.647 97.57 97.57 124.37
Atoms (fractional coordinates):
Y: 0.125 0.875 0.750
Y: 0.875 0.125 0.250
Zn: 0.252 0.503 0.004
Zn: 0.497 0.748 0.496
Zn: 0.503 0.252 0.504
Zn: 0.748 0.497 0.996
Rh: 0.207 0.793 0.250
Rh: 0.458 0.542 0.750
Rh: 0.542 0.458 0.250
Rh: 0.793 0.207 0.750

Properties
D(E_F)   5.81 states/eV/f.u.
Distance to the lowest polymorph of the same formula   169 meV/atom
V   18.881 A^3/atom
Formation energy from the elements   -366 meV per atom
Size of the total moment   0.0 Bohr magnetons per cell
SG   C2/c, No. 15

***

# 12
NaHfWCl2 | PBE-GGA | relaxed

Lattice parameters (Å, degrees): 4.936 4.936 5.246 90.00 90.00 90.00
Atoms (fractional coordinates):
Na: 0.000 0.000 0.000
Hf: 0.500 0.500 0.000
W: 0.500 0.500 0.500
Cl: 0.000 0.500 0.500
Cl: 0.500 0.000 0.500

Properties
D(E_F)   5.21 states/eV/f.u.
Raw formation energy   0.551 eV per atom
V   25.557 A^3/atom
Size of the total moment   0.0 Bohr magnetons per cell
SG   P4/mmm, No. 123